Entry 1
# PBE VSbTe2I, relaxed
# DOS(E_F)   9.98 states/eV/f.u.
# Size of the total moment   0.1 μB per formula unit
data_VSbTe2I
_cell_length_a 5.708
_cell_length_b 5.708
_cell_length_c 5.809
_cell_angle_alpha 90.00
_cell_angle_beta 90.00
_cell_angle_gamma 90.00
_symmetry_space_group_name_H-M 'P 4/m m m'
_symmetry_Int_Tables_number 123
_symmetry_space_group_name_Hall '-P 4 2'
loop_
_atom_site_label
_atom_site_type_symbol
_atom_site_fract_x
_atom_site_fract_y
_atom_site_fract_z
V1 V 0.000 0.000 0.000
Sb1 Sb 0.500 0.500 0.000
Te1 Te 0.000 0.500 0.500
I1 I 0.500 0.500 0.500

---

Entry 2
# PBE VSbTe2I, relaxed
# DOS(E_F)   5.03 states/eV/f.u.
# Size of the total moment   2.4 μB per formula unit
data_VSbTe2I
_cell_length_a 5.319
_cell_length_b 5.319
_cell_length_c 5.360
_cell_angle_alpha 90.00
_cell_angle_beta 90.00
_cell_angle_gamma 90.00
_symmetry_space_group_name_H-M 'P 4/m m m'
_symmetry_Int_Tables_number 123
_symmetry_space_group_name_Hall '-P 4 2'
loop_
_atom_site_label
_atom_site_type_symbol
_atom_site_fract_x
_atom_site_fract_y
_atom_site_fract_z
V1 V 0.000 0.000 0.000
Sb1 Sb 0.500 0.500 0.500
Te1 Te 0.000 0.500 0.000
I1 I 0.000 0.000 0.500

---

entry 2 comes first in stability; the runner-up is 1.314 eV/atom higher.

---

Entry 1
# PBE YSbTeI2, relaxed
# DOS(E_F)   1.72 states/eV/f.u.
# Size of the total moment   2.0 μB per formula unit
data_YSbTeI2
_cell_length_a 5.888
_cell_length_b 5.888
_cell_length_c 6.155
_cell_angle_alpha 90.00
_cell_angle_beta 90.00
_cell_angle_gamma 90.00
_symmetry_space_group_name_H-M 'P 4/m m m'
_symmetry_Int_Tables_number 123
_symmetry_space_group_name_Hall '-P 4 2'
loop_
_atom_site_label
_atom_site_type_symbol
_atom_site_fract_x
_atom_site_fract_y
_atom_site_fract_z
Y1 Y 0.000 0.000 0.000
Sb1 Sb 0.500 0.500 0.500
Te1 Te 0.000 0.000 0.500
I1 I 0.000 0.500 0.000

---

Entry 2
# PBE YSbTeI2, relaxed
# DOS(E_F)   5.16 states/eV/f.u.
# Size of the total moment   0.5 μB per formula unit
data_YSbTeI2
_cell_length_a 5.798
_cell_length_b 5.798
_cell_length_c 6.023
_cell_angle_alpha 90.00
_cell_angle_beta 90.00
_cell_angle_gamma 90.00
_symmetry_space_group_name_H-M 'P 4/m m m'
_symmetry_Int_Tables_number 123
_symmetry_space_group_name_Hall '-P 4 2'
loop_
_atom_site_label
_atom_site_type_symbol
_atom_site_fract_x
_atom_site_fract_y
_atom_site_fract_z
Y1 Y 0.000 0.000 0.000
Sb1 Sb 0.500 0.500 0.000
Te1 Te 0.500 0.500 0.500
I1 I 0.000 0.500 0.500

---

entry 1 comes first in stability; the runner-up is 0.677 eV/atom higher.